A geometry-optimized K2In6Au structure. Source: Alexandria via LeMat-Bulk, functional GGA-PBE.

Cell and atoms, written as POSCAR:
```
K2In6Au
1.0
6.437 -0.031 -0.018
0.030 6.828 0.009
0.030 3.410 5.915
Au In K
1 6 2
Cartesian
0.000 0.000 0.000 Au
4.380 3.394 3.848 In
4.360 1.754 1.015 In
4.380 5.028 1.026 In
2.117 6.812 2.058 In
2.137 8.452 4.892 In
2.117 5.178 4.881 In
1.021 3.403 1.970 K
5.476 6.803 3.937 K
```

Output
ΔH_f (0 K)	-0.1408	eV/atom
crystal system	trigonal
N(E_F)	4.27	states/eV/f.u.
SG	P-3m1 (164)